Record 1
MgSb2I2 after structural relaxation. Source: the Alexandria database, functional PBE.

Structure (POSCAR):
```
MgSb2I2
1.0
7.764 0.000 0.000
0.000 7.764 0.000
0.000 0.000 9.724
Mg Sb I
2 4 4
direct
0.000 0.000 0.000 Mg
0.500 0.500 0.000 Mg
0.115 0.385 0.500 Sb
0.385 0.885 0.500 Sb
0.615 0.115 0.500 Sb
0.885 0.615 0.500 Sb
0.184 0.684 0.000 I
0.316 0.184 0.000 I
0.684 0.816 0.000 I
0.816 0.316 0.000 I
```

Properties
* volume: 586.13 Å³ per cell
* E_form (uncorrected): 0.00 eV/atom
* energy above the lowest structure with this stoichiometry: 0.136 eV/atom
* D(E_F): 0.000 states/eV per cell



Record 2
MgSbI after structural relaxation. Source: the Alexandria database, functional PBE.

Structure (POSCAR):
```
MgSbI
1.0
3.644 -2.105 0.000
3.644 2.105 0.000
-0.244 0.000 13.750
Mg Sb I
2 2 2
direct
0.174 0.174 0.222 Mg
0.826 0.826 0.778 Mg
0.496 0.496 0.903 Sb
0.504 0.504 0.097 Sb
0.155 0.155 0.656 I
0.845 0.845 0.344 I
```

Properties
* volume: 210.95 Å³ per cell
* E_form (uncorrected): -0.45 eV/atom
* energy above the lowest structure with this stoichiometry: 0.000 eV/atom
* D(E_F): 1.171 states/eV per cell



Record 3
MgSbSeI2 after structural relaxation. Source: the Alexandria database, functional PBE.

Structure (POSCAR):
```
MgSbSeI2
1.0
5.826 0.000 0.000
0.000 5.826 0.000
0.000 0.000 5.512
Mg Sb Se I
1 1 1 2
direct
0.000 0.000 0.000 Mg
0.500 0.500 0.000 Sb
0.500 0.500 0.500 Se
0.000 0.500 0.500 I
0.500 0.000 0.500 I
```

Properties
* volume: 187.08 Å³ per cell
* E_form (uncorrected): 0.36 eV/atom
* energy above the lowest structure with this stoichiometry: 0.104 eV/atom
* D(E_F): 6.860 states/eV per cell



Record 4
MgSbSeI2 after structural relaxation. Source: the Alexandria database, functional PBE.

Structure (POSCAR):
```
MgSbSeI2
1.0
5.425 0.000 0.000
0.000 5.425 0.000
0.000 0.000 5.980
Mg Sb Se I
1 1 1 2
direct
0.000 0.000 0.000 Mg
0.000 0.000 0.500 Sb
0.500 0.500 0.500 Se
0.000 0.500 0.000 I
0.500 0.000 0.000 I
```

Properties
* volume: 176.00 Å³ per cell
* E_form (uncorrected): 0.26 eV/atom
* energy above the lowest structure with this stoichiometry: 0.000 eV/atom
* D(E_F): 4.284 states/eV per cell



Record 5
MgSb2SeI after structural relaxation. Source: the Alexandria database, functional PBE.

Structure (POSCAR):
```
MgSb2SeI
1.0
5.451 0.000 0.000
0.000 5.451 0.000
0.000 0.000 5.812
Mg Sb Se I
1 2 1 1
direct
0.000 0.000 0.000 Mg
0.000 0.500 0.500 Sb
0.500 0.000 0.500 Sb
0.500 0.500 0.500 Se
0.500 0.500 0.000 I
```

Properties
* volume: 172.70 Å³ per cell
* E_form (uncorrected): 0.50 eV/atom
* energy above the lowest structure with this stoichiometry: 0.015 eV/atom
* D(E_F): 4.311 states/eV per cell



Record 6
MgSbSeI2 after structural relaxation. Source: the Alexandria database, functional PBE.

Structure (POSCAR):
```
MgSbSeI2
1.0
5.943 0.000 0.000
0.000 5.943 0.000
0.000 0.000 5.655
Mg Sb Se I
1 1 1 2
direct
0.000 0.000 0.000 Mg
0.000 0.000 0.500 Sb
0.500 0.500 0.000 Se
0.000 0.500 0.500 I
0.500 0.000 0.500 I
```

Properties
* volume: 199.70 Å³ per cell
* E_form (uncorrected): 0.30 eV/atom
* energy above the lowest structure with this stoichiometry: 0.038 eV/atom
* D(E_F): 3.749 states/eV per cell



Record 7
MgSb2SeI after structural relaxation. Source: the Alexandria database, functional PBE.

Structure (POSCAR):
```
MgSb2SeI
1.0
5.540 0.000 0.000
0.000 5.540 0.000
0.000 0.000 5.253
Mg Sb Se I
1 2 1 1
direct
0.000 0.000 0.000 Mg
0.000 0.500 0.000 Sb
0.500 0.000 0.000 Sb
0.500 0.500 0.500 Se
0.000 0.000 0.500 I
```

Properties
* volume: 161.22 Å³ per cell
* E_form (uncorrected): 0.49 eV/atom
* energy above the lowest structure with this stoichiometry: 0.000 eV/atom
* D(E_F): 3.626 states/eV per cell



Record 8
MgSiSb2I after structural relaxation. Source: the Alexandria database, functional PBE.

Structure (POSCAR):
```
MgSiSb2I
1.0
5.416 0.000 0.000
0.000 5.416 0.000
0.000 0.000 5.501
Mg Si Sb I
1 1 2 1
direct
0.000 0.000 0.000 Mg
0.500 0.500 0.500 Si
0.000 0.500 0.000 Sb
0.500 0.000 0.000 Sb
0.000 0.000 0.500 I
```

Properties
* volume: 161.38 Å³ per cell
* E_form (uncorrected): 0.77 eV/atom
* energy above the lowest structure with this stoichiometry: 0.296 eV/atom
* D(E_F): 5.283 states/eV per cell



Record 9
MgSiSb2I after structural relaxation. Source: the Alexandria database, functional PBE.

Structure (POSCAR):
```
MgSiSb2I
1.0
5.286 0.000 0.000
0.000 5.286 0.000
0.000 0.000 5.538
Mg Si Sb I
1 1 2 1
direct
0.000 0.000 0.000 Mg
0.500 0.500 0.500 Si
0.000 0.500 0.500 Sb
0.500 0.000 0.500 Sb
0.500 0.500 0.000 I
```

Properties
* volume: 154.73 Å³ per cell
* E_form (uncorrected): 0.48 eV/atom
* energy above the lowest structure with this stoichiometry: 0.000 eV/atom
* D(E_F): 5.122 states/eV per cell



Record 10
MgSnSbI2 after structural relaxation. Source: the Alexandria database, functional PBE.

Structure (POSCAR):
```
MgSnSbI2
1.0
5.540 0.000 0.000
0.000 5.540 0.000
0.000 0.000 5.744
Mg Sn Sb I
1 1 1 2
direct
0.000 0.000 0.000 Mg
0.500 0.500 0.500 Sn
0.000 0.000 0.500 Sb
0.000 0.500 0.000 I
0.500 0.000 0.000 I
```

Properties
* volume: 176.31 Å³ per cell
* E_form (uncorrected): 0.04 eV/atom
* energy above the lowest structure with this stoichiometry: 0.000 eV/atom
* D(E_F): 3.155 states/eV per cell



Record 11
Mg2SnSbI after structural relaxation. Source: the Alexandria database, functional PBE.

Structure (POSCAR):
```
Mg2SnSbI
1.0
5.508 0.000 0.000
0.000 5.508 0.000
0.000 0.000 5.943
Mg Sn Sb I
2 1 1 1
direct
0.000 0.500 0.000 Mg
0.500 0.000 0.000 Mg
0.000 0.000 0.500 Sn
0.500 0.500 0.500 Sb
0.000 0.000 0.000 I
```

Properties
* volume: 180.33 Å³ per cell
* E_form (uncorrected): 0.60 eV/atom
* D(E_F): 4.519 states/eV per cell



Record 12
SrMgSbI2 after structural relaxation. Source: the Alexandria database, functional PBE.

Structure (POSCAR):
```
SrMgSbI2
1.0
5.709 0.000 0.000
0.000 5.709 0.000
0.000 0.000 5.690
Sr Mg Sb I
1 1 1 2
direct
0.000 0.000 0.000 Sr
0.500 0.500 0.500 Mg
0.500 0.500 0.000 Sb
0.000 0.500 0.500 I
0.500 0.000 0.500 I
```

Properties
* volume: 185.46 Å³ per cell
* E_form (uncorrected): -0.60 eV/atom
* energy above the lowest structure with this stoichiometry: 0.000 eV/atom
* D(E_F): 4.427 states/eV per cell



Record 13
SrMgSbI2 after structural relaxation. Source: the Alexandria database, functional PBE.

Structure (POSCAR):
```
SrMgSbI2
1.0
6.268 0.000 0.000
0.000 6.268 0.000
0.000 0.000 6.734
Sr Mg Sb I
1 1 1 2
direct
0.000 0.000 0.000 Sr
0.500 0.500 0.500 Mg
0.000 0.000 0.500 Sb
0.000 0.500 0.000 I
0.500 0.000 0.000 I
```

Properties
* volume: 264.57 Å³ per cell
* E_form (uncorrected): -0.22 eV/atom
* energy above the lowest structure with this stoichiometry: 0.384 eV/atom
* D(E_F): 2.394 states/eV per cell



Record 14
MgTaSb2I after structural relaxation. Source: the Alexandria database, functional PBE.

Structure (POSCAR):
```
MgTaSb2I
1.0
5.347 0.000 0.000
0.000 5.347 0.000
0.000 0.000 5.798
Mg Ta Sb I
1 1 2 1
direct
0.000 0.000 0.000 Mg
0.500 0.500 0.500 Ta
0.000 0.500 0.500 Sb
0.500 0.000 0.500 Sb
0.500 0.500 0.000 I
```

Properties
* volume: 165.79 Å³ per cell
* E_form (uncorrected): 0.39 eV/atom
* energy above the lowest structure with this stoichiometry: 0.000 eV/atom
* D(E_F): 2.670 states/eV per cell



Record 15
MgTaSb2I after structural relaxation. Source: the Alexandria database, functional PBE.

Structure (POSCAR):
```
MgTaSb2I
1.0
5.267 0.000 0.000
0.000 5.267 0.000
0.000 0.000 5.350
Mg Ta Sb I
1 1 2 1
direct
0.000 0.000 0.000 Mg
0.500 0.500 0.500 Ta
0.000 0.500 0.000 Sb
0.500 0.000 0.000 Sb
0.000 0.000 0.500 I
```

Properties
* volume: 148.43 Å³ per cell
* E_form (uncorrected): 1.28 eV/atom
* energy above the lowest structure with this stoichiometry: 0.886 eV/atom
* D(E_F): 8.743 states/eV per cell



Record 16
MgSbTe2I after structural relaxation. Source: the Alexandria database, functional PBE.

Structure (POSCAR):
```
MgSbTe2I
1.0
5.379 0.000 0.000
0.000 5.379 0.000
0.000 0.000 5.782
Mg Sb Te I
1 1 2 1
direct
0.000 0.000 0.000 Mg
0.000 0.000 0.500 Sb
0.000 0.500 0.000 Te
0.500 0.000 0.000 Te
0.500 0.500 0.500 I
```

Properties
* volume: 167.30 Å³ per cell
* E_form (uncorrected): 0.30 eV/atom
* energy above the lowest structure with this stoichiometry: 0.140 eV/atom
* D(E_F): 5.530 states/eV per cell



Record 17
MgSbTe2I after structural relaxation. Source: the Alexandria database, functional PBE.

Structure (POSCAR):
```
MgSbTe2I
1.0
5.548 0.000 0.000
0.000 5.548 0.000
0.000 0.000 5.375
Mg Sb Te I
1 1 2 1
direct
0.000 0.000 0.000 Mg
0.500 0.500 0.500 Sb
0.000 0.500 0.000 Te
0.500 0.000 0.000 Te
0.000 0.000 0.500 I
```

Properties
* volume: 165.45 Å³ per cell
* E_form (uncorrected): 0.16 eV/atom
* energy above the lowest structure with this stoichiometry: 0.000 eV/atom
* D(E_F): 5.461 states/eV per cell



Record 18
MgTiSbI2 after structural relaxation. Source: the Alexandria database, functional PBE.

Structure (POSCAR):
```
MgTiSbI2
1.0
5.431 0.000 0.000
0.000 5.431 0.000
0.000 0.000 5.611
Mg Ti Sb I
1 1 1 2
direct
0.000 0.000 0.000 Mg
0.500 0.500 0.500 Ti
0.500 0.500 0.000 Sb
0.000 0.500 0.500 I
0.500 0.000 0.500 I
```

Properties
* volume: 165.50 Å³ per cell
* E_form (uncorrected): -0.01 eV/atom
* energy above the lowest structure with this stoichiometry: 0.000 eV/atom
* D(E_F): 4.437 states/eV per cell



Record 19
MgTiSb2I after structural relaxation. Source: the Alexandria database, functional PBE.

Structure (POSCAR):
```
MgTiSb2I
1.0
5.283 0.000 0.000
0.000 5.283 0.000
0.000 0.000 5.680
Mg Ti Sb I
1 1 2 1
direct
0.000 0.000 0.000 Mg
0.500 0.500 0.500 Ti
0.000 0.500 0.500 Sb
0.500 0.000 0.500 Sb
0.500 0.500 0.000 I
```

Properties
* volume: 158.52 Å³ per cell
* E_form (uncorrected): 0.11 eV/atom
* energy above the lowest structure with this stoichiometry: 0.000 eV/atom
* D(E_F): 5.564 states/eV per cell



Record 20
MgTiSbI2 after structural relaxation. Source: the Alexandria database, functional PBE.

Structure (POSCAR):
```
MgTiSbI2
1.0
5.495 0.000 0.000
0.000 5.495 0.000
0.000 0.000 5.640
Mg Ti Sb I
1 1 1 2
direct
0.000 0.000 0.000 Mg
0.500 0.500 0.500 Ti
0.000 0.000 0.500 Sb
0.000 0.500 0.000 I
0.500 0.000 0.000 I
```

Properties
* volume: 170.30 Å³ per cell
* E_form (uncorrected): 0.53 eV/atom
* energy above the lowest structure with this stoichiometry: 0.540 eV/atom
* D(E_F): 8.631 states/eV per cell



Record 21
MgTiSb2I after structural relaxation. Source: the Alexandria database, functional PBE.

Structure (POSCAR):
```
MgTiSb2I
1.0
5.316 0.000 0.000
0.000 5.316 0.000
0.000 0.000 5.604
Mg Ti Sb I
1 1 2 1
direct
0.000 0.000 0.000 Mg
0.500 0.500 0.500 Ti
0.000 0.500 0.000 Sb
0.500 0.000 0.000 Sb
0.000 0.000 0.500 I
```

Properties
* volume: 158.38 Å³ per cell
* E_form (uncorrected): 0.74 eV/atom
* energy above the lowest structure with this stoichiometry: 0.630 eV/atom
* D(E_F): 6.887 states/eV per cell



Record 22
MgTlSb2I after structural relaxation. Source: the Alexandria database, functional PBE.

Structure (POSCAR):
```
MgTlSb2I
1.0
5.434 0.000 0.000
0.000 5.434 0.000
0.000 0.000 6.098
Mg Tl Sb I
1 1 2 1
direct
0.000 0.000 0.000 Mg
0.500 0.500 0.500 Tl
0.000 0.500 0.000 Sb
0.500 0.000 0.000 Sb
0.000 0.000 0.500 I
```

Properties
* volume: 180.09 Å³ per cell
* E_form (uncorrected): 0.15 eV/atom
* energy above the lowest structure with this stoichiometry: 0.000 eV/atom
* D(E_F): 4.406 states/eV per cell



Record 23
MgVSbI2 after structural relaxation. Source: the Alexandria database, functional PBE.

Structure (POSCAR):
```
MgVSbI2
1.0
5.610 0.000 0.000
0.000 5.610 0.000
0.000 0.000 5.530
Mg V Sb I
1 1 1 2
direct
0.000 0.000 0.000 Mg
0.500 0.500 0.500 V
0.000 0.000 0.500 Sb
0.000 0.500 0.000 I
0.500 0.000 0.000 I
```

Properties
* volume: 174.07 Å³ per cell
* E_form (uncorrected): 0.58 eV/atom
* energy above the lowest structure with this stoichiometry: 0.401 eV/atom
* D(E_F): 10.480 states/eV per cell



Record 24
MgVSbI2 after structural relaxation. Source: the Alexandria database, functional PBE.

Structure (POSCAR):
```
MgVSbI2
1.0
5.496 0.000 0.000
0.000 5.496 0.000
0.000 0.000 5.400
Mg V Sb I
1 1 1 2
direct
0.000 0.000 0.000 Mg
0.500 0.500 0.500 V
0.500 0.500 0.000 Sb
0.000 0.500 0.500 I
0.500 0.000 0.500 I
```

Properties
* volume: 163.12 Å³ per cell
* E_form (uncorrected): 0.18 eV/atom
* energy above the lowest structure with this stoichiometry: 0.000 eV/atom
* D(E_F): 3.484 states/eV per cell



Record 25
MgVSb2I after structural relaxation. Source: the Alexandria database, functional PBE.

Structure (POSCAR):
```
MgVSb2I
1.0
5.078 0.000 0.000
0.000 5.078 0.000
0.000 0.000 5.971
Mg V Sb I
1 1 2 1
direct
0.000 0.000 0.000 Mg
0.500 0.500 0.500 V
0.000 0.500 0.500 Sb
0.500 0.000 0.500 Sb
0.500 0.500 0.000 I
```

Properties
* volume: 153.96 Å³ per cell
* E_form (uncorrected): 0.27 eV/atom
* energy above the lowest structure with this stoichiometry: 0.000 eV/atom
* D(E_F): 3.759 states/eV per cell



Record 26
MgVSb2I after structural relaxation. Source: the Alexandria database, functional PBE.

Structure (POSCAR):
```
MgVSb2I
1.0
5.339 0.000 0.000
0.000 5.339 0.000
0.000 0.000 5.571
Mg V Sb I
1 1 2 1
direct
0.000 0.000 0.000 Mg
0.500 0.500 0.500 V
0.000 0.500 0.000 Sb
0.500 0.000 0.000 Sb
0.000 0.000 0.500 I
```

Properties
* volume: 158.77 Å³ per cell
* E_form (uncorrected): 1.06 eV/atom
* energy above the lowest structure with this stoichiometry: 0.797 eV/atom
* D(E_F): 8.216 states/eV per cell



Record 27
MgSbWI2 after structural relaxation. Source: the Alexandria database, functional PBE.

Structure (POSCAR):
```
MgSbWI2
1.0
6.217 0.000 0.000
0.000 6.217 0.000
0.000 0.000 5.383
Mg Sb W I
1 1 1 2
direct
0.000 0.000 0.000 Mg
0.500 0.500 0.500 Sb
0.500 0.500 0.000 W
0.000 0.500 0.500 I
0.500 0.000 0.500 I
```

Properties
* volume: 208.08 Å³ per cell
* E_form (uncorrected): 1.15 eV/atom
* energy above the lowest structure with this stoichiometry: 0.492 eV/atom
* D(E_F): 4.428 states/eV per cell



Record 28
MgSbWI2 after structural relaxation. Source: the Alexandria database, functional PBE.

Structure (POSCAR):
```
MgSbWI2
1.0
5.648 0.000 0.000
0.000 5.648 0.000
0.000 0.000 5.300
Mg Sb W I
1 1 1 2
direct
0.000 0.000 0.000 Mg
0.500 0.500 0.000 Sb
0.500 0.500 0.500 W
0.000 0.500 0.500 I
0.500 0.000 0.500 I
```

Properties
* volume: 169.10 Å³ per cell
* E_form (uncorrected): 0.66 eV/atom
* energy above the lowest structure with this stoichiometry: 0.000 eV/atom
* D(E_F): 4.830 states/eV per cell



Record 29
MgSbWI2 after structural relaxation. Source: the Alexandria database, functional PBE.

Structure (POSCAR):
```
MgSbWI2
1.0
5.475 0.000 0.000
0.000 5.475 0.000
0.000 0.000 5.694
Mg Sb W I
1 1 1 2
direct
0.000 0.000 0.000 Mg
0.000 0.000 0.500 Sb
0.500 0.500 0.500 W
0.000 0.500 0.000 I
0.500 0.000 0.000 I
```

Properties
* volume: 170.71 Å³ per cell
* E_form (uncorrected): 1.24 eV/atom
* energy above the lowest structure with this stoichiometry: 0.582 eV/atom
* D(E_F): 8.037 states/eV per cell



no.,electronic total energy (eV per atom)
1,-2.585
2,-2.876
3,-2.099
4,-2.202
5,-2.475
6,-2.165
7,-2.490
8,-2.590
9,-2.886
10,-2.520
11,-1.977
12,-2.702
13,-2.319
14,-4.257
15,-3.371
16,-2.407
17,-2.548
18,-3.356
19,-3.745
20,-2.817
21,-3.115
22,-2.603
23,-3.006
24,-3.407
25,-3.835
26,-3.038
27,-3.201
28,-3.692
29,-3.110